A plane-wave DFT calculation with PBE-GGA was carried out for PaCuSn2 after structural relaxation.

POSCAR file:
```
PaCuSn2
1.0
3.495 0.000 0.000
0.000 3.495 0.000
0.000 0.000 7.223
Pa Cu Sn
1 1 2
direct
0.000 0.000 0.000
0.000 0.000 0.500
0.500 0.500 0.294
0.500 0.500 0.706
```

Summary:
relative energy among the computed polymorphs = 0.2660 eV per atom
E_form = 0.022 eV per atom
space-group type = P4/mmm (123)
density = 10.01 Mg/m³